1.
PBE La2AlRuPt, optimized geometry; density of states at the Fermi level = 0.924 states/eV per atom; space group = P4/mmm (123); V = 139.2 Å³/f.u.; crystal system = tetragonal; calculated formation energy = 0.276 eV/atom; uncorrected energy = -5.5071 eV/atom
1.0
5.668 0.000 0.000
0.000 5.668 0.000
0.000 0.000 4.333
La Al Ru Pt
2 1 1 1
Cartesian
0.000 2.834 0.000 La
2.834 0.000 0.000 La
0.000 0.000 0.000 Al
0.000 0.000 2.166 Ru
2.834 2.834 2.166 Pt

2.
PBE La3Al2SbPt9, optimized geometry; density of states at the Fermi level = 0.619 states/eV per atom; ΔE_f (raw) = -9.38 eV/f.u.; space group = P-3m1 (164); V = 331.6 Å³/f.u.; crystal system = trigonal; uncorrected energy = -6.0088 eV/atom
1.0
7.574 0.000 0.000
-3.787 6.560 0.000
0.000 0.000 6.674
La Al Sb Pt
3 2 1 9
Cartesian
0.000 0.000 0.000 La
0.000 4.373 4.356 La
3.787 2.187 2.318 La
0.000 4.373 0.980 Al
3.787 2.187 5.695 Al
0.000 0.000 3.337 Sb
-1.894 3.280 0.000 Pt
0.000 2.265 2.105 Pt
-1.825 5.427 2.105 Pt
1.962 1.133 4.570 Pt
3.787 0.000 0.000 Pt
1.894 3.280 0.000 Pt
1.825 5.427 2.105 Pt
5.613 1.133 4.570 Pt
3.787 4.294 4.570 Pt

3.
PBE LaScAlPt2, optimized geometry; density of states at the Fermi level = 0.972 states/eV per atom; space group = I-4m2 (119); V = 106.7 Å³/f.u.; crystal system = tetragonal; calculated formation energy = -1.112 eV/atom; uncorrected energy = -6.5286 eV/atom
1.0
4.210 0.000 0.000
0.000 4.210 0.000
0.000 0.000 12.042
La Sc Al Pt
2 2 2 4
Cartesian
0.000 0.000 0.000 La
2.105 2.105 6.021 La
0.000 2.105 9.032 Sc
2.105 0.000 3.011 Sc
0.000 2.105 3.011 Al
2.105 0.000 9.032 Al
0.000 0.000 4.641 Pt
0.000 0.000 7.401 Pt
2.105 2.105 1.380 Pt
2.105 2.105 10.662 Pt

4.
PBE La2ScAl4Pt3, optimized geometry; density of states at the Fermi level = 0.827 states/eV per atom; space group = P-4m2 (115); V = 207.3 Å³/f.u.; crystal system = tetragonal; calculated formation energy = -0.953 eV/atom; uncorrected energy = -5.8808 eV/atom
1.0
4.282 0.000 0.000
0.000 4.282 0.000
0.000 0.000 11.303
La Sc Al Pt
2 1 4 3
Cartesian
0.000 2.141 2.668 La
2.141 0.000 8.634 La
0.000 0.000 5.651 Sc
0.000 0.000 0.000 Al
0.000 2.141 7.392 Al
2.141 0.000 3.911 Al
2.141 2.141 0.000 Al
0.000 2.141 9.900 Pt
2.141 0.000 1.402 Pt
2.141 2.141 5.651 Pt